[1]
Computed, not measured: Rb2Hg2Se3 after structural relaxation at the GGA-PBE level of DFT.

The value obtained for the relative energy among the computed polymorphs is 0 meV/atom. Its theoretical density is 5.0 Mg/m³. As for the uncorrected formation energy: -0.652 eV per atom. The space-group type is No. 15. For the total energy, the calculation gives -70.24 eV/cell.

abc: 12.814 12.814 7.381
angles: 104.77 104.77 102.10
Element x y z (fractional)
Rb 0.080 0.920 0.750
Rb 0.202 0.798 0.250
Rb 0.284 0.488 0.899
Rb 0.488 0.284 0.399
Rb 0.512 0.716 0.601
Rb 0.716 0.512 0.101
Rb 0.798 0.202 0.750
Rb 0.920 0.080 0.250
Hg 0.093 0.459 0.380
Hg 0.192 0.251 0.117
Hg 0.251 0.192 0.617
Hg 0.459 0.093 0.880
Hg 0.541 0.907 0.120
Hg 0.749 0.808 0.383
Hg 0.808 0.749 0.883
Hg 0.907 0.541 0.620
Se 0.080 0.213 0.747
Se 0.115 0.644 0.729
Se 0.213 0.080 0.247
Se 0.293 0.460 0.372
Se 0.356 0.885 0.771
Se 0.460 0.293 0.872
Se 0.540 0.707 0.128
Se 0.644 0.115 0.229
Se 0.707 0.540 0.628
Se 0.787 0.920 0.753
Se 0.885 0.356 0.271
Se 0.920 0.787 0.253


[2]
Computed, not measured: RbHg2Se after structural relaxation at the GGA-PBE level of DFT.

Its theoretical density is 6.6 Mg/m³. As for the uncorrected formation energy: -0.304 eV per atom. The space-group type is No. 122. For the total energy, the calculation gives -12.54 eV/cell.

abc: 7.348 7.348 7.348
angles: 101.77 101.77 126.30
Element x y z (fractional)
Rb 0.000 0.000 0.000
Rb 0.750 0.250 0.500
Hg 0.199 0.625 0.074
Hg 0.375 0.449 0.574
Hg 0.551 0.125 0.926
Hg 0.875 0.801 0.426
Se 0.250 0.750 0.500
Se 0.500 0.500 0.000


[3]
Computed, not measured: RbHg2Se after structural relaxation at the GGA-PBE level of DFT.

Its theoretical density is 6.2 Mg/m³. As for the uncorrected formation energy: -0.498 eV per atom. The space-group type is No. 1. For the total energy, the calculation gives -14.10 eV/cell.

abc: 6.768 6.922 7.582
angles: 63.01 75.98 89.90
Element x y z (fractional)
Rb 0.000 0.000 0.000
Rb 0.481 0.536 0.928
Hg 0.236 0.091 0.463
Hg 0.489 0.734 0.345
Hg 0.739 0.268 0.464
Hg 0.998 0.606 0.584
Se 0.545 0.081 0.836
Se 0.934 0.452 0.093


[4]
Computed, not measured: Rb4HgSe3 after structural relaxation at the GGA-PBE level of DFT.

Its theoretical density is 3.8 Mg/m³. As for the uncorrected formation energy: -0.912 eV per atom. The space-group type is No. 9. For the total energy, the calculation gives -43.84 eV/cell.

abc: 9.383 9.383 11.321
angles: 115.90 115.90 52.43
Element x y z (fractional)
Rb 0.006 0.533 0.043
Rb 0.150 0.631 0.730
Rb 0.169 0.831 0.500
Rb 0.383 0.813 0.127
Rb 0.533 0.006 0.543
Rb 0.631 0.150 0.230
Rb 0.813 0.383 0.627
Rb 0.831 0.169 0.000
Hg 0.078 0.409 0.365
Hg 0.409 0.078 0.865
Se 0.065 0.127 0.341
Se 0.127 0.065 0.841
Se 0.386 0.410 0.982
Se 0.410 0.386 0.482
Se 0.738 0.814 0.817
Se 0.814 0.738 0.317


[5]
Computed, not measured: RbHg2Se after structural relaxation at the GGA-PBE level of DFT.

Its theoretical density is 6.4 Mg/m³. As for the uncorrected formation energy: -0.368 eV per atom. The space-group type is No. 10. For the total energy, the calculation gives -6.53 eV/cell.

abc: 5.227 4.913 5.884
angles: 90.00 102.92 90.00
Element x y z (fractional)
Rb 0.000 0.000 0.000
Hg 0.398 0.500 0.741
Hg 0.602 0.500 0.259
Se 0.500 0.000 0.500


[6]
Computed, not measured: RbHg2Se after structural relaxation at the GGA-PBE level of DFT.

Its theoretical density is 6.9 Mg/m³. As for the uncorrected formation energy: -0.373 eV per atom. The space-group type is No. 1. For the total energy, the calculation gives -6.55 eV/cell.

abc: 4.246 4.549 7.292
angles: 73.93 89.37 89.34
Element x y z (fractional)
Rb 0.000 0.000 0.000
Hg 0.501 0.683 0.635
Hg 0.998 0.163 0.462
Se 0.499 0.410 0.228


[7]
Computed, not measured: RbHgSe after structural relaxation at the GGA-PBE level of DFT.

The value obtained for the relative energy among the computed polymorphs is 129 meV/atom. Its theoretical density is 5.6 Mg/m³. As for the uncorrected formation energy: -0.554 eV per atom. The space-group type is No. 187. For the total energy, the calculation gives -6.42 eV/cell.

abc: 5.022 5.022 4.943
angles: 90.00 90.00 120.00
Element x y z (fractional)
Rb 0.000 0.000 0.000
Hg 0.333 0.667 0.500
Se 0.667 0.333 0.500


[8]
Computed, not measured: RbHgSe after structural relaxation at the GGA-PBE level of DFT.

The value obtained for the relative energy among the computed polymorphs is 243 meV/atom. Its theoretical density is 5.6 Mg/m³. As for the uncorrected formation energy: -0.441 eV per atom. The space-group type is No. 63. For the total energy, the calculation gives -12.15 eV/cell.

abc: 5.677 5.677 7.012
angles: 90.00 90.00 107.37
Element x y z (fractional)
Rb 0.143 0.857 0.750
Rb 0.857 0.143 0.250
Hg 0.500 0.500 0.000
Hg 0.500 0.500 0.500
Se 0.247 0.753 0.250
Se 0.753 0.247 0.750